## BPtSe2O (GGA-PBEsol)

Data for crystalline BPtSe2O at its relaxed geometry.

Unit cell a=4.093 b=4.354 c=4.354 alpha=90.00 beta=90.00 gamma=90.00
Each line ends with the local moment (μB).
Positions (direct):
1 Se 0.000 0.500 0.000  0.15
2 Se 0.000 0.000 0.500  0.15
3 O 0.500 0.500 0.500  1.03
4 B 0.000 0.000 0.000  -0.02
5 Pt 0.500 0.000 0.000  0.10

Output
- SG: P4/mmm (123)
- M_tot: 1.70 μB/cell
- Energy: -21.966 eV per cell

## Mg2RhCl (GGA-PBEsol)

Data for crystalline Mg2RhCl at its relaxed geometry.

Unit cell a=3.678 b=3.678 c=5.874 alpha=108.24 beta=108.24 gamma=90.00
Positions (direct):
1 Mg 0.000 0.000 0.000
2 Mg 0.750 0.250 0.500
3 Cl 0.250 0.750 0.500
4 Rh 0.500 0.500 0.000

Output
- SG: I-4m2 (119)
- M_tot: 0.00 μB/cell
- Energy: -14.553 eV per cell
- Excess energy over the best structure of this formula in the dataset: 0.000 eV per atom

## Rb2ZrBiO (GGA-PBEsol)

Data for crystalline Rb2ZrBiO at its relaxed geometry.

Unit cell a=5.565 b=7.089 c=7.089 alpha=90.00 beta=90.00 gamma=90.00
Each line ends with the local moment (μB).
Positions (direct):
1 O 0.500 0.500 0.500  0.88
2 Rb 0.000 0.000 0.500  0.00
3 Rb 0.000 0.500 0.000  0.00
4 Zr 0.500 0.000 0.000  1.05
5 Bi 0.000 0.000 0.000  -0.07

Output
- SG: P4/mmm (123)
- M_tot: 2.96 μB/cell
- Energy: -17.154 eV per cell

## SrCuNi2C (GGA-PBEsol)

Data for crystalline SrCuNi2C at its relaxed geometry.

Unit cell a=4.247 b=4.247 c=5.381 alpha=90.00 beta=90.00 gamma=90.00
Each line ends with the local moment (μB).
Positions (direct):
1 Sr 0.000 0.000 0.500  0.04
2 Ni 0.500 0.000 0.000  0.47
3 Ni 0.000 0.500 0.000  0.47
4 C 0.500 0.500 0.500  0.70
5 Cu 0.000 0.000 0.000  0.08

Output
- SG: P4/mmm (123)
- M_tot: 2.49 μB/cell
- Energy: -19.300 eV per cell
- Formation energy from the elements: 1767 meV per atom